## P
A plane-wave DFT calculation with PBE was carried out for a relaxed structure of FeAs2PBr.

Unit cell a=4.7721 b=4.7721 c=4.9737 alpha=90.00 beta=90.00 gamma=90.00
Closest atoms and distances in Å follow each position.
Space group P4/mmm (No. 123)
Inequivalent atoms, fractional coordinates:
Fe: 0.0000 0.0000 0.0000 [1 per cell]  4 Br 3.37, 8 As 3.45
As: 0.0000 0.5000 0.5000 [2 per cell]  2 P 2.39
P: 0.5000 0.5000 0.5000 [1 per cell]  4 As 2.39, 2 Br 2.49
Br: 0.5000 0.5000 0.0000 [1 per cell]  2 P 2.49

As for the total moment: 3.682 μB per cell. The calculation puts the calculated volume at 113.3 Å³/cell.

## Q
A plane-wave DFT calculation with PBE was carried out for a relaxed structure of FeAs2PBr.

Unit cell a=4.4977 b=4.4977 c=4.9585 alpha=90.00 beta=90.00 gamma=90.00
Closest atoms and distances in Å follow each position.
Space group P4/mmm (No. 123)
Inequivalent atoms, fractional coordinates:
Fe: 0.0000 0.0000 0.0000 [1 per cell]  4 As 2.25, 2 Br 2.48
As: 0.0000 0.5000 0.0000 [2 per cell]  2 Fe 2.25
P: 0.5000 0.5000 0.5000 [1 per cell]  4 Br 3.18, 8 As 3.35
Br: 0.0000 0.0000 0.5000 [1 per cell]  2 Fe 2.48

As for the total moment: 0.000 μB per cell. The calculation puts the calculated volume at 100.3 Å³/cell.

Stability, highest: Q